The following is a DFT calculation (PBE-GGA) of a geometry-optimized KNa2Si structure.

Calculated values
* DOS(E_F): 0.569 states/eV/atom
* calculated total energy: -2.20 eV per atom
* ΔE_f (raw): 90.0 meV/atom

CIF file:
```
data_KNa2Si
_symmetry_space_group_name_H-M 'P 1 21/c 1'
_symmetry_Int_Tables_number 14
_symmetry_space_group_name_Hall '-P 2ybc'
_cell_length_a 10.061
_cell_length_b 6.452
_cell_length_c 9.324
_cell_angle_alpha 90.00
_cell_angle_beta 112.71
_cell_angle_gamma 90.00
loop_
_atom_site_label
_atom_site_type_symbol
_atom_site_fract_x
_atom_site_fract_y
_atom_site_fract_z
K1 K 0.120 0.080 0.218
Na1 Na 0.301 0.614 0.435
Na2 Na 0.422 0.083 0.651
Si1 Si 0.109 0.570 0.067
```

***

The following is a DFT calculation (PBE-GGA) of a geometry-optimized KNaSi3 structure.

Calculated values
* DOS(E_F): 0.762 states/eV/atom
* calculated total energy: -2.04 eV per atom
* ΔE_f (raw): 1694.7 meV/atom

CIF file:
```
data_KNaSi3
_symmetry_space_group_name_H-M 'P m -3 m'
_symmetry_Int_Tables_number 221
_symmetry_space_group_name_Hall '-P 4 2 3'
_cell_length_a 5.568
_cell_length_b 5.568
_cell_length_c 5.568
_cell_angle_alpha 90.00
_cell_angle_beta 90.00
_cell_angle_gamma 90.00
loop_
_atom_site_label
_atom_site_type_symbol
_atom_site_fract_x
_atom_site_fract_y
_atom_site_fract_z
K1 K 0.000 0.000 0.000
Na1 Na 0.500 0.500 0.500
Si1 Si 0.000 0.000 0.500
```

***

The following is a DFT calculation (PBE-GGA) of a geometry-optimized K2NaSi2 structure.

Calculated values
* DOS(E_F): 0.620 states/eV/atom
* calculated total energy: -2.62 eV per atom
* ΔE_f (raw): 254.6 meV/atom

CIF file:
```
data_K2NaSi2
_symmetry_space_group_name_H-M 'I 4/m m m'
_symmetry_Int_Tables_number 139
_symmetry_space_group_name_Hall '-I 4 2'
_cell_length_a 5.053
_cell_length_b 5.053
_cell_length_c 13.616
_cell_angle_alpha 90.00
_cell_angle_beta 90.00
_cell_angle_gamma 90.00
loop_
_atom_site_label
_atom_site_type_symbol
_atom_site_fract_x
_atom_site_fract_y
_atom_site_fract_z
K1 K 0.000 0.500 0.250
Na1 Na 0.000 0.000 0.000
Si1 Si 0.000 0.000 0.420
```

***

The following is a DFT calculation (PBE-GGA) of a geometry-optimized K2NaSi2 structure.

Calculated values
* DOS(E_F): 0.554 states/eV/atom
* calculated total energy: -2.72 eV per atom
* ΔE_f (raw): 156.5 meV/atom

CIF file:
```
data_K2NaSi2
_symmetry_space_group_name_H-M 'P 4/m b m'
_symmetry_Int_Tables_number 127
_symmetry_space_group_name_Hall '-P 4 2ab'
_cell_length_a 8.157
_cell_length_b 8.157
_cell_length_c 5.154
_cell_angle_alpha 90.00
_cell_angle_beta 90.00
_cell_angle_gamma 90.00
loop_
_atom_site_label
_atom_site_type_symbol
_atom_site_fract_x
_atom_site_fract_y
_atom_site_fract_z
K1 K 0.186 0.314 0.000
Na1 Na 0.000 0.000 0.500
Si1 Si 0.096 0.596 0.500
```

***

The following is a DFT calculation (PBE-GGA) of a geometry-optimized KNaSi3 structure.

Calculated values
* DOS(E_F): 0.834 states/eV/atom
* calculated total energy: -2.60 eV per atom
* ΔE_f (raw): 1138.5 meV/atom

CIF file:
```
data_KNaSi3
_symmetry_space_group_name_H-M 'P m -3 m'
_symmetry_Int_Tables_number 221
_symmetry_space_group_name_Hall '-P 4 2 3'
_cell_length_a 5.177
_cell_length_b 5.177
_cell_length_c 5.177
_cell_angle_alpha 90.00
_cell_angle_beta 90.00
_cell_angle_gamma 90.00
loop_
_atom_site_label
_atom_site_type_symbol
_atom_site_fract_x
_atom_site_fract_y
_atom_site_fract_z
K1 K 0.000 0.000 0.000
Na1 Na 0.500 0.500 0.500
Si1 Si 0.000 0.500 0.500
```

***

The following is a DFT calculation (PBE-GGA) of a geometry-optimized KNaSrSi structure.

Calculated values
* calculated total energy: -2.36 eV per atom
* ΔE_f (raw): 17.0 meV/atom

CIF file:
```
data_KNaSrSi
_symmetry_space_group_name_H-M 'F -4 3 m'
_symmetry_Int_Tables_number 216
_symmetry_space_group_name_Hall 'F -4 2 3'
_cell_length_a 7.800
_cell_length_b 7.800
_cell_length_c 7.800
_cell_angle_alpha 90.00
_cell_angle_beta 90.00
_cell_angle_gamma 90.00
loop_
_atom_site_label
_atom_site_type_symbol
_atom_site_fract_x
_atom_site_fract_y
_atom_site_fract_z
K1 K 0.000 0.000 0.000
Na1 Na 0.250 0.250 0.750
Sr1 Sr 0.250 0.250 0.250
Si1 Si 0.000 0.000 0.500
```

***

The following is a DFT calculation (PBE-GGA) of a geometry-optimized KNaSi2Tc structure.

Calculated values
* DOS(E_F): 0.458 states/eV/atom
* calculated total energy: -4.59 eV per atom
* ΔE_f (raw): 139.2 meV/atom

CIF file:
```
data_KNaSi2Tc
_symmetry_space_group_name_H-M 'P 4/m m m'
_symmetry_Int_Tables_number 123
_symmetry_space_group_name_Hall '-P 4 2'
_cell_length_a 4.665
_cell_length_b 4.665
_cell_length_c 5.621
_cell_angle_alpha 90.00
_cell_angle_beta 90.00
_cell_angle_gamma 90.00
loop_
_atom_site_label
_atom_site_type_symbol
_atom_site_fract_x
_atom_site_fract_y
_atom_site_fract_z
K1 K 0.000 0.000 0.000
Na1 Na 0.500 0.500 0.000
Si1 Si 0.000 0.500 0.500
Tc1 Tc 0.500 0.500 0.500
```

***

The following is a DFT calculation (PBE-GGA) of a geometry-optimized KNaSiTe3 structure.

Calculated values
* DOS(E_F): 0.525 states/eV/atom
* calculated total energy: -3.37 eV per atom
* ΔE_f (raw): -489.6 meV/atom

CIF file:
```
data_KNaSiTe3
_symmetry_space_group_name_H-M 'C 1 2/m 1'
_symmetry_Int_Tables_number 12
_symmetry_space_group_name_Hall '-C 2y'
_cell_length_a 12.708
_cell_length_b 8.131
_cell_length_c 9.190
_cell_angle_alpha 90.00
_cell_angle_beta 111.94
_cell_angle_gamma 90.00
loop_
_atom_site_label
_atom_site_type_symbol
_atom_site_fract_x
_atom_site_fract_y
_atom_site_fract_z
K1 K 0.165 0.000 0.212
Na1 Na 0.000 0.290 0.500
Si1 Si 0.018 0.500 0.882
Te1 Te 0.115 0.234 0.860
Te2 Te 0.160 0.500 0.361
```